## Ho6Tm2Th (PBE)

Data for an optimized crystal structure of Ho6Tm2Th.

a = 3.534 Å, b = 7.861 Å, c = 10.573 Å
α = 102.90°, β = 90.05°, γ = 102.91°
Atoms (fractional coordinates):
Ho  0.001  0.001  0.334
Ho  0.335  0.671  0.778
Ho  0.338  0.674  0.112
Ho  0.662  0.326  0.888
Ho  0.665  0.329  0.222
Ho  0.999  0.999  0.666
Tm  0.332  0.664  0.444
Tm  0.668  0.336  0.556
Th  0.000  0.000  0.000

Energy above the lowest structure with this stoichiometry, meV/atom: 0
Crystal system: triclinic
Energy of formation, eV/atom: 0.022